No. 1
DFT (PBE-GGA) results for a relaxed structure of LaOs2.

Magnetization: 0.0 μB per cell
Calculated density: 13.64 g cm⁻³

Geometry as extended XYZ:
```
6
Lattice="-1.6434 5.4381 1.5389 -2.1753 -3.2232 -4.4183 -3.1346 -1.7441 2.8156" Properties=species:S:1:pos:R:3 pbc="T T T"
La -3.2579 -0.7820 1.4279
La -3.6955 1.2529 -1.4917
Os -4.6721 2.0678 1.6187
Os -2.2813 -1.5969 -1.6825
Os -4.9128 -1.8516 -1.0771
Os -2.0406 2.3225 1.0133
```


No. 2
DFT (PBE-GGA) results for a relaxed structure of SrMgZn2Cd4.

Magnetization: 0.0 μB per cell
Calculated density: 6.00 g cm⁻³

Geometry as extended XYZ:
```
8
Lattice="4.6494 0.0000 0.0000 2.3247 4.0265 0.0000 2.3247 1.3422 10.2394" Properties=species:S:1:pos:R:3 pbc="T T T"
Sr 0.0000 0.0000 0.0000
Mg 4.6494 2.6843 5.1197
Zn 6.9741 4.0265 7.2253
Zn 2.3247 1.3422 3.0141
Cd 4.6494 2.6844 8.1738
Cd 6.9741 4.0265 3.8727
Cd 2.3247 1.3422 6.3668
Cd 4.6494 2.6843 2.0657
```


No. 3
DFT (PBE-GGA) results for a relaxed structure of Be2Pd12Pb5.

Magnetization: 0.0 μB per cell
Calculated density: 10.72 g cm⁻³

Geometry as extended XYZ:
```
19
Lattice="-3.3395 -0.1951 4.5870 7.4347 -0.3064 1.8863 -1.0958 8.9933 -0.4152" Properties=species:S:1:pos:R:3 pbc="T T T"
Be -2.3569 -0.1377 3.2374
Be -0.9826 -0.0574 1.3496
Pd 3.4187 0.8487 6.0383
Pd 4.0679 7.3872 1.4362
Pd 2.3193 7.2850 3.8380
Pd 4.4548 2.8209 1.5564
Pd 2.7374 2.7205 3.9154
Pd -2.4058 6.8984 2.0553
Pd 5.4052 1.5933 4.0029
Pd -1.4554 5.6709 4.5017
Pd 0.2620 5.7712 2.1428
Pd -1.0685 1.1046 4.6220
Pd 0.6801 1.2067 2.2201
Pd -0.4193 7.6430 0.0199
Pb 3.0216 5.0024 2.4126
Pb 3.3768 0.4204 2.4763
Pb -0.5479 4.4966 -0.2076
Pb -0.3774 8.0714 3.5819
Pb -0.0222 3.4894 3.6455
```


No. 4
DFT (PBE-GGA) results for a relaxed structure of PuTiNbRe.

Magnetization: 4.2 μB per cell
Calculated density: 13.43 g cm⁻³

Geometry as extended XYZ:
```
4
Lattice="-3.1543 -2.1769 2.6135 -3.7741 -1.8407 -1.9714 -0.4595 -4.6078 -0.2757" Properties=species:S:1:pos:R:3 pbc="T T T"
Re -3.6940 -4.3127 0.1832
Nb -5.5409 -6.4690 0.2748
Ti -1.8470 -2.1563 0.0916
Pu 0.0000 0.0000 0.0000
```


no.,volume (Å³/cell),formation enthalpy at 0 K (meV per atom)
1,126.5,117
2,191.7,-100
3,361.2,-181
4,70.6,77